No. 1
Below is a relaxed structure of Ca3Cd2Hg2Au4, with properties calculated at the PBE-GGA level.

Output
calculated volume	25.06	Å³ per atom
energy relative to the elements	-0.513	eV per atom
DOS(E_F)	0.24	states/eV/atom

Lattice parameters (Å, degrees): 4.829 4.829 13.649 90.00 90.00 120.00
Fractional coordinates of all 11 atoms:
Ca  0.000  0.000  0.000
Ca  0.000  0.000  0.272
Ca  0.000  0.000  0.728
Cd  0.333  0.667  0.574
Cd  0.667  0.333  0.426
Hg  0.333  0.667  0.141
Hg  0.667  0.333  0.859
Au  0.333  0.667  0.366
Au  0.333  0.667  0.877
Au  0.667  0.333  0.123
Au  0.667  0.333  0.634



No. 2
Below is a relaxed structure of CaCdHgAu, with properties calculated at the PBE-GGA level.

Output
calculated volume	23.11	Å³ per atom
energy relative to the elements	-0.473	eV per atom
DOS(E_F)	0.39	states/eV/atom

Lattice parameters (Å, degrees): 7.177 7.177 7.177 90.00 90.00 90.00
Fractional coordinates of all 16 atoms:
Ca  0.000  0.000  0.000
Ca  0.000  0.500  0.500
Ca  0.500  0.000  0.500
Ca  0.500  0.500  0.000
Cd  0.000  0.000  0.500
Cd  0.000  0.500  0.000
Cd  0.500  0.000  0.000
Cd  0.500  0.500  0.500
Hg  0.250  0.250  0.750
Hg  0.250  0.750  0.250
Hg  0.750  0.250  0.250
Hg  0.750  0.750  0.750
Au  0.250  0.250  0.250
Au  0.250  0.750  0.750
Au  0.750  0.250  0.750
Au  0.750  0.750  0.250



No. 3
Below is a relaxed structure of CaCd2HgAu4, with properties calculated at the PBE-GGA level.

Output
calculated volume	20.69	Å³ per atom
energy relative to the elements	-0.288	eV per atom
DOS(E_F)	0.24	states/eV/atom

Lattice parameters (Å, degrees): 8.367 8.367 8.367 34.26 34.26 34.26
Fractional coordinates of all 8 atoms:
Ca  0.000  0.000  0.000
Cd  0.253  0.253  0.253
Cd  0.747  0.747  0.747
Hg  0.500  0.500  0.500
Au  0.128  0.128  0.128
Au  0.378  0.378  0.378
Au  0.622  0.622  0.622
Au  0.872  0.872  0.872



No. 4
Below is a relaxed structure of CaCd2HgAu, with properties calculated at the PBE-GGA level.

Output
calculated volume	27.19	Å³ per atom
energy relative to the elements	-0.300	eV per atom
DOS(E_F)	0.40	states/eV/atom

Lattice parameters (Å, degrees): 8.269 8.269 8.304 90.00 90.00 151.39
Fractional coordinates of all 10 atoms:
Ca  0.104  0.896  0.750
Ca  0.896  0.104  0.250
Cd  0.325  0.675  0.566
Cd  0.325  0.675  0.934
Cd  0.675  0.325  0.066
Cd  0.675  0.325  0.434
Hg  0.500  0.500  0.000
Hg  0.500  0.500  0.500
Au  0.256  0.744  0.250
Au  0.744  0.256  0.750



No. 5
Below is a relaxed structure of Ca2CdHgAu, with properties calculated at the PBE-GGA level.

Output
calculated volume	26.45	Å³ per atom
energy relative to the elements	-0.574	eV per atom
DOS(E_F)	0.45	states/eV/atom
energy above the lowest structure with this stoichiometry	0.000	eV per atom

Lattice parameters (Å, degrees): 7.539 4.604 8.169 90.00 111.11 90.00
Fractional coordinates of all 10 atoms:
Ca  0.034  0.250  0.206
Ca  0.358  0.750  0.612
Ca  0.642  0.250  0.388
Ca  0.966  0.750  0.794
Cd  0.344  0.250  0.955
Cd  0.656  0.750  0.045
Hg  0.327  0.750  0.197
Hg  0.673  0.250  0.803
Au  0.085  0.250  0.604
Au  0.915  0.750  0.396



No. 6
Below is a relaxed structure of Ca2CdHg4Au, with properties calculated at the PBE-GGA level.

Output
calculated volume	23.58	Å³ per atom
energy relative to the elements	-0.384	eV per atom
DOS(E_F)	0.44	states/eV/atom

Lattice parameters (Å, degrees): 8.842 8.842 8.842 33.61 33.61 33.61
Fractional coordinates of all 8 atoms:
Ca  0.248  0.248  0.248
Ca  0.752  0.752  0.752
Cd  0.000  0.000  0.000
Hg  0.125  0.125  0.125
Hg  0.376  0.376  0.376
Hg  0.624  0.624  0.624
Hg  0.875  0.875  0.875
Au  0.500  0.500  0.500



No. 7
Below is a relaxed structure of Ca2CdHgAu4, with properties calculated at the PBE-GGA level.

Output
calculated volume	21.95	Å³ per atom
energy relative to the elements	-0.540	eV per atom
DOS(E_F)	0.41	states/eV/atom

Lattice parameters (Å, degrees): 8.671 8.671 8.671 33.36 33.36 33.36
Fractional coordinates of all 8 atoms:
Ca  0.247  0.247  0.247
Ca  0.753  0.753  0.753
Cd  0.000  0.000  0.000
Hg  0.500  0.500  0.500
Au  0.121  0.121  0.121
Au  0.370  0.370  0.370
Au  0.630  0.630  0.630
Au  0.879  0.879  0.879



No. 8
Below is a relaxed structure of Ca4CdHgAu2, with properties calculated at the PBE-GGA level.

Output
calculated volume	25.74	Å³ per atom
energy relative to the elements	-0.595	eV per atom
DOS(E_F)	0.81	states/eV/atom

Lattice parameters (Å, degrees): 9.139 9.139 9.139 33.39 33.39 33.39
Fractional coordinates of all 8 atoms:
Ca  0.124  0.124  0.124
Ca  0.374  0.374  0.374
Ca  0.626  0.626  0.626
Ca  0.876  0.876  0.876
Cd  0.500  0.500  0.500
Hg  0.000  0.000  0.000
Au  0.247  0.247  0.247
Au  0.753  0.753  0.753



No. 9
Below is a relaxed structure of Ca2CdHgAu, with properties calculated at the PBE-GGA level.

Output
calculated volume	34.87	Å³ per atom
energy relative to the elements	-0.002	eV per atom
DOS(E_F)	0.71	states/eV/atom
energy above the lowest structure with this stoichiometry	0.572	eV per atom

Lattice parameters (Å, degrees): 5.789 5.789 5.204 90.00 90.00 90.00
Fractional coordinates of all 5 atoms:
Ca  0.000  0.500  0.000
Ca  0.500  0.000  0.000
Cd  0.000  0.000  0.500
Hg  0.000  0.000  0.000
Au  0.500  0.500  0.500



No. 10
Below is a relaxed structure of Ca4CdHg2Au, with properties calculated at the PBE-GGA level.

Output
calculated volume	26.66	Å³ per atom
energy relative to the elements	-0.559	eV per atom
DOS(E_F)	0.53	states/eV/atom

Lattice parameters (Å, degrees): 9.199 9.199 9.199 33.68 33.68 33.68
Fractional coordinates of all 8 atoms:
Ca  0.120  0.120  0.120
Ca  0.371  0.371  0.371
Ca  0.629  0.629  0.629
Ca  0.880  0.880  0.880
Cd  0.500  0.500  0.500
Hg  0.244  0.244  0.244
Hg  0.756  0.756  0.756
Au  0.000  0.000  0.000



No. 11
Below is a relaxed structure of CaHoCd2Au4, with properties calculated at the PBE-GGA level.

Output
calculated volume	21.39	Å³ per atom
energy relative to the elements	-0.621	eV per atom
DOS(E_F)	0.41	states/eV/atom

Lattice parameters (Å, degrees): 8.563 8.563 8.563 33.58 33.58 33.58
Fractional coordinates of all 8 atoms:
Ca  0.000  0.000  0.000
Ho  0.500  0.500  0.500
Cd  0.251  0.251  0.251
Cd  0.749  0.749  0.749
Au  0.127  0.127  0.127
Au  0.377  0.377  0.377
Au  0.623  0.623  0.623
Au  0.873  0.873  0.873



No. 12
Below is a relaxed structure of Ca4Cd2InAu, with properties calculated at the PBE-GGA level.

Output
calculated volume	27.19	Å³ per atom
energy relative to the elements	-0.492	eV per atom
DOS(E_F)	0.67	states/eV/atom

Lattice parameters (Å, degrees): 9.314 9.314 9.314 33.36 33.36 33.36
Fractional coordinates of all 8 atoms:
Ca  0.120  0.120  0.120
Ca  0.371  0.371  0.371
Ca  0.629  0.629  0.629
Ca  0.880  0.880  0.880
Cd  0.245  0.245  0.245
Cd  0.755  0.755  0.755
In  0.500  0.500  0.500
Au  0.000  0.000  0.000



No. 13
Below is a relaxed structure of CaCdInAu, with properties calculated at the PBE-GGA level.

Output
calculated volume	25.46	Å³ per atom
energy relative to the elements	-0.327	eV per atom
DOS(E_F)	0.37	states/eV/atom

Lattice parameters (Å, degrees): 4.206 4.206 11.511 90.00 90.00 90.00
Fractional coordinates of all 8 atoms:
Ca  0.250  0.250  0.183
Ca  0.750  0.750  0.817
Cd  0.250  0.750  0.500
Cd  0.750  0.250  0.500
In  0.250  0.250  0.682
In  0.750  0.750  0.318
Au  0.250  0.250  0.926
Au  0.750  0.750  0.074